Record 1
Cs2NaGaAg after structural relaxation, computed with PBE.

Cell: 7.223 7.223 5.065 Å, 90.00 90.00 90.00°
Space group P4/mmm (No. 123)
Asymmetric unit:
Cs: 0.000 0.500 0.000 x2
Na: 0.000 0.000 0.500 x1
Ga: 0.500 0.500 0.500 x1
Ag: 0.500 0.500 0.000 x1

Values from the calculation:
* volume: 264.30 Å³ per cell
* electronic total energy: -1.659 eV/atom
* energy of formation: 122 meV/atom

***

Record 2
CsGa2AgPd after structural relaxation, computed with PBE.

Cell: 4.906 4.906 5.587 Å, 90.00 90.00 90.00°
Space group P4/mmm (No. 123)
Asymmetric unit:
Cs: 0.000 0.000 0.000 x1
Ga: 0.000 0.500 0.500 x2
Ag: 0.500 0.500 0.000 x1
Pd: 0.500 0.500 0.500 x1

Values from the calculation:
* volume: 134.44 Å³ per cell
* electronic total energy: -3.105 eV/atom
* energy of formation: -114 meV/atom

***

Record 3
CsRb2GaAg after structural relaxation, computed with PBE.

Cell: 7.122 7.122 5.128 Å, 90.00 90.00 90.00°
Space group P4/mmm (No. 123)
Asymmetric unit:
Cs: 0.000 0.000 0.000 x1
Rb: 0.000 0.500 0.500 x2
Ga: 0.500 0.500 0.500 x1
Ag: 0.500 0.500 0.000 x1

Values from the calculation:
* volume: 260.05 Å³ per cell
* electronic total energy: -1.602 eV/atom
* energy of formation: 132 meV/atom

***

Record 4
CsGaAgSb after structural relaxation, computed with PBE.

Cell: 4.573 4.573 13.844 Å, 90.00 90.00 90.00°
Space group P4/nmm (No. 129, origin choice 2)
Asymmetric unit:
Cs: 0.250 0.250 0.223 x2
Ga: 0.250 0.750 0.500 x2
Ag: 0.250 0.750 0.000 x2
Sb: 0.250 0.250 0.615 x2

Values from the calculation:
* volume: 289.55 Å³ per cell
* electronic total energy: -2.802 eV/atom
* energy relative to the elements, uncorrected: -88 meV/atom

***

Record 5
CsGaAgSe2 after structural relaxation, computed with PBE.

Cell: 6.542 14.477 6.787 Å, 90.00 90.00 90.00°
Space group Cmme (No. 67)
Asymmetric unit:
Cs: 0.000 0.250 0.238 x4
Ga: 0.250 0.000 0.500 x4
Ag: 0.000 0.000 0.000 x4
Se: 0.000 0.108 0.712 x8

Values from the calculation:
* volume: 642.80 Å³ per cell
* electronic total energy: -3.288 eV/atom
* energy relative to the elements, uncorrected: -548 meV/atom

***

Record 6
Cs2Ga3AgSn4 after structural relaxation, computed with PBE.

Cell: 5.014 5.014 11.770 Å, 90.00 90.00 90.00°
Space group P-4m2 (No. 115)
Asymmetric unit:
Cs: 0.000 0.500 0.246 x2
Ga: 0.000 0.000 0.000 x1
Ga: 0.000 0.500 0.633 x2
Ag: 0.500 0.500 0.000 x1
Sn: 0.000 0.000 0.500 x1
Sn: 0.000 0.500 0.877 x2
Sn: 0.500 0.500 0.500 x1

Values from the calculation:
* volume: 295.93 Å³ per cell
* electronic total energy: -3.074 eV/atom
* energy of formation: -109 meV/atom

***

Record 7
Cs2GaTcAg after structural relaxation, computed with PBE.

Cell: 6.853 6.853 5.237 Å, 90.00 90.00 90.00°
Space group P4/mmm (No. 123)
Asymmetric unit:
Cs: 0.000 0.500 0.000 x2
Ga: 0.000 0.000 0.500 x1
Tc: 0.500 0.500 0.000 x1
Ag: 0.500 0.500 0.500 x1

Values from the calculation:
* volume: 245.96 Å³ per cell
* electronic total energy: -2.391 eV/atom
* energy of formation: 1199 meV/atom

***

Record 8
CsGaAgTe2 after structural relaxation, computed with PBE.

Cell: 6.851 15.287 7.192 Å, 90.00 90.00 90.00°
Space group Cmme (No. 67)
Asymmetric unit:
Cs: 0.000 0.250 0.236 x4
Ga: 0.250 0.000 0.500 x4
Ag: 0.000 0.000 0.000 x4
Te: 0.000 0.110 0.714 x8

Values from the calculation:
* volume: 753.23 Å³ per cell
* electronic total energy: -3.057 eV/atom
* energy relative to the elements, uncorrected: -454 meV/atom

***

Record 9
CsGa2AgTe after structural relaxation, computed with PBE.

Cell: 5.196 5.196 6.199 Å, 90.00 90.00 90.00°
Space group P4/mmm (No. 123)
Asymmetric unit:
Cs: 0.000 0.000 0.000 x1
Ga: 0.000 0.500 0.500 x2
Ag: 0.000 0.000 0.500 x1
Te: 0.500 0.500 0.000 x1

Values from the calculation:
* volume: 167.34 Å³ per cell
* electronic total energy: -2.535 eV/atom
* energy relative to the elements, uncorrected: 45 meV/atom

***

Record 10
CsTlGaAg2 after structural relaxation, computed with PBE.

Cell: 6.272 6.272 6.299 Å, 90.00 90.00 90.00°
Space group P4/mmm (No. 123)
Asymmetric unit:
Cs: 0.000 0.000 0.000 x1
Tl: 0.500 0.500 0.500 x1
Ga: 0.000 0.000 0.500 x1
Ag: 0.000 0.500 0.000 x2

Values from the calculation:
* distance to the lowest polymorph of the same formula: 924 meV/atom
* volume: 247.84 Å³ per cell
* electronic total energy: -1.357 eV/atom
* energy of formation: 1033 meV/atom

***

Record 11
CsTlGaAg2 after structural relaxation, computed with PBE.

Cell: 5.269 5.269 5.627 Å, 90.00 90.00 90.00°
Space group P4/mmm (No. 123)
Asymmetric unit:
Cs: 0.000 0.000 0.000 x1
Tl: 0.500 0.500 0.000 x1
Ga: 0.500 0.500 0.500 x1
Ag: 0.000 0.500 0.500 x2

Values from the calculation:
* distance to the lowest polymorph of the same formula: 0 meV/atom
* volume: 156.24 Å³ per cell
* electronic total energy: -2.280 eV/atom
* energy of formation: 109 meV/atom

***

Record 12
CsZrGaAg2 after structural relaxation, computed with PBE.

Cell: 5.048 5.048 5.914 Å, 90.00 90.00 90.00°
Space group P4/mmm (No. 123)
Asymmetric unit:
Cs: 0.000 0.000 0.000 x1
Zr: 0.500 0.500 0.000 x1
Ga: 0.000 0.000 0.500 x1
Ag: 0.000 0.500 0.500 x2

Values from the calculation:
* volume: 150.72 Å³ per cell
* electronic total energy: -2.592 eV/atom
* energy of formation: 1034 meV/atom

***

Record 13
CsGd2Ag3Te5 after structural relaxation, computed with PBE.

Cell: 4.612 16.453 18.753 Å, 90.00 90.00 90.00°
Space group Cmcm (No. 63)
Asymmetric unit:
Cs: 0.000 0.058 0.250 x4
Gd: 0.000 0.191 0.594 x8
Ag: 0.000 0.342 0.250 x4
Ag: 0.000 0.415 0.534 x8
Te: 0.000 0.177 0.072 x8
Te: 0.000 0.253 0.750 x4
Te: 0.000 0.436 0.118 x8

Values from the calculation:
* volume: 1423.09 Å³ per cell
* electronic total energy: -5.750 eV/atom
* energy relative to the elements, uncorrected: -907 meV/atom

***

Record 14
CsAgGe after structural relaxation, computed with PBE.

Cell: 4.093 11.620 8.671 Å, 90.00 90.00 90.00°
Space group Imma (No. 74)
Asymmetric unit:
Cs: 0.000 0.000 0.000 x4
Ag: 0.000 0.250 0.362 x4
Ge: 0.000 0.250 0.670 x4

Values from the calculation:
* distance to the lowest polymorph of the same formula: 63 meV/atom
* volume: 412.38 Å³ per cell
* electronic total energy: -2.783 eV/atom
* energy of formation: -8 meV/atom

***

Record 15
CsAgGe after structural relaxation, computed with PBE.

Cell: 4.727 4.727 17.416 Å, 90.00 90.00 90.00°
Space group I4/mmm (No. 139)
Asymmetric unit:
Cs: 0.000 0.000 0.170 x4
Ag: 0.000 0.500 0.000 x4
Ge: 0.000 0.000 0.422 x4

Values from the calculation:
* distance to the lowest polymorph of the same formula: 0 meV/atom
* volume: 389.22 Å³ per cell
* electronic total energy: -2.846 eV/atom
* energy of formation: -72 meV/atom

***

Record 16
Cs3AgGe after structural relaxation, computed with PBE.

Cell: 6.987 6.987 6.987 Å, 90.00 90.00 90.00°
Space group Pm-3m (No. 221)
Asymmetric unit:
Cs: 0.000 0.000 0.500 x3
Ag: 0.500 0.500 0.500 x1
Ge: 0.000 0.000 0.000 x1

Values from the calculation:
* distance to the lowest polymorph of the same formula: 262 meV/atom
* volume: 341.16 Å³ per cell
* electronic total energy: -1.729 eV/atom
* energy of formation: 277 meV/atom

***

Record 17
CsAgGe after structural relaxation, computed with PBE.

Cell: 4.4696 4.4696 6.0573 Å, 90.00 90.00 120.00°
Space group P-6m2 (No. 187)
Asymmetric unit:
Cs: 0.0000 0.0000 0.0000 x1
Ag: 0.6667 0.3333 0.5000 x1
Ge: 0.3333 0.6667 0.5000 x1

Values from the calculation:
* distance to the lowest polymorph of the same formula: 198 meV/atom
* volume: 104.80 Å³ per cell
* electronic total energy: -2.648 eV/atom
* energy of formation: 127 meV/atom

***

Record 18
CsAg2Ge after structural relaxation, computed with PBE.

Cell: 4.7070 4.7070 19.9670 Å, 90.00 90.00 120.00°
Space group R-3m (No. 166, hexagonal axes)
Asymmetric unit:
Cs: 0.0000 0.0000 0.0000 x3
Ag: 0.0000 0.0000 0.1844 x6
Ge: 0.0000 0.0000 0.5000 x3

Values from the calculation:
* volume: 383.12 Å³ per cell
* electronic total energy: -2.776 eV/atom
* energy of formation: 17 meV/atom

***

Record 19
Cs3Ag2Ge4 after structural relaxation, computed with PBE.

Cell: 4.812 7.738 8.810 Å, 84.54 74.39 71.92°
Space group P-1 (No. 2)
Asymmetric unit:
Cs: 0.000 0.000 0.000 x1
Cs: 0.414 0.816 0.352 x2
Ag: 0.302 0.625 0.770 x2
Ge: 0.129 0.371 0.374 x2
Ge: 0.253 0.418 0.071 x2

Values from the calculation:
* volume: 300.34 Å³ per cell
* electronic total energy: -2.959 eV/atom
* energy of formation: 11 meV/atom

***

Record 20
CsAg2Ge after structural relaxation, computed with PBE.

Cell: 5.868 5.868 16.620 Å, 90.00 90.00 90.00°
Space group I4_1/amd (No. 141, origin choice 2)
Asymmetric unit:
Cs: 0.000 0.250 0.375 x4
Ag: 0.000 0.000 0.000 x8
Ge: 0.000 0.250 0.875 x4

Values from the calculation:
* volume: 572.32 Å³ per cell
* electronic total energy: -2.664 eV/atom
* energy of formation: 129 meV/atom

***

Record 21
Cs2Ag2Ge after structural relaxation, computed with PBE.

Cell: 7.326 7.326 6.054 Å, 90.00 90.00 90.00°
Space group P4/mbm (No. 127)
Asymmetric unit:
Cs: 0.180 0.320 0.000 x4
Ag: 0.144 0.644 0.500 x4
Ge: 0.000 0.000 0.500 x2

Values from the calculation:
* distance to the lowest polymorph of the same formula: 0 meV/atom
* volume: 324.92 Å³ per cell
* electronic total energy: -2.226 eV/atom
* energy of formation: 180 meV/atom

***

Record 22
Cs3AgGe after structural relaxation, computed with PBE.

Cell: 7.354 8.622 17.802 Å, 90.00 104.84 90.00°
Space group P2/c (No. 13)
Asymmetric unit:
Cs: 0.035 0.235 0.139 x4
Cs: 0.215 0.265 0.684 x4
Cs: 0.416 0.242 0.973 x4
Ag: 0.432 0.383 0.318 x4
Ge: 0.445 0.073 0.309 x4

Values from the calculation:
* distance to the lowest polymorph of the same formula: 0 meV/atom
* volume: 1091.19 Å³ per cell
* electronic total energy: -1.991 eV/atom
* energy of formation: 15 meV/atom

***

Record 23
Cs2Ag2Ge after structural relaxation, computed with PBE.

Cell: 7.219 7.219 7.907 Å, 90.00 90.00 90.00°
Space group I4/mmm (No. 139)
Asymmetric unit:
Cs: 0.000 0.500 0.250 x4
Ag: 0.000 0.000 0.172 x4
Ge: 0.000 0.000 0.500 x2

Values from the calculation:
* distance to the lowest polymorph of the same formula: 7 meV/atom
* volume: 412.03 Å³ per cell
* electronic total energy: -2.218 eV/atom
* energy of formation: 187 meV/atom

***

Record 24
CsAgGe2H after structural relaxation, computed with PBE.

Cell: 5.963 5.963 3.936 Å, 90.00 90.00 90.00°
Space group P4/mmm (No. 123)
Asymmetric unit:
Cs: 0.000 0.000 0.000 x1
Ag: 0.500 0.500 0.500 x1
Ge: 0.000 0.500 0.000 x2
H: 0.000 0.000 0.500 x1

Values from the calculation:
* volume: 139.95 Å³ per cell
* electronic total energy: -1.813 eV/atom

***

Record 25
Cs2AgHgGe after structural relaxation, computed with PBE.

Cell: 7.200 7.200 4.895 Å, 90.00 90.00 90.00°
Space group P4/mmm (No. 123)
Asymmetric unit:
Cs: 0.000 0.500 0.000 x2
Ag: 0.000 0.000 0.500 x1
Hg: 0.500 0.500 0.500 x1
Ge: 0.000 0.000 0.000 x1

Values from the calculation:
* volume: 253.76 Å³ per cell
* electronic total energy: -1.848 eV/atom
* energy of formation: 47 meV/atom